Here is a relaxed structure of CrBiSb2H from Alexandria. Energies are from PBE.

The structure in CIF format:
```
data_CrBiSb2H
_space_group_name_H-M_alt 'P 4/m m m'
_space_group_IT_number 123
_space_group_name_Hall '-P 4 2'
_cell_length_a 4.6000
_cell_length_b 4.6000
_cell_length_c 5.0790
_cell_angle_alpha 90.00
_cell_angle_beta 90.00
_cell_angle_gamma 90.00
loop_
_atom_site_label
_atom_site_type_symbol
_atom_site_fract_x
_atom_site_fract_y
_atom_site_fract_z
_atom_site_occupancy
Cr1 Cr 0.0000 0.0000 0.0000 1
Bi1 Bi 0.5000 0.5000 0.0000 1
Sb1 Sb 0.0000 0.5000 0.5000 1
H1 H 0.5000 0.5000 0.5000 1
```

**VASP energy**: -4.435 eV per atom